Material: Tl2CoAg2Cl6
Method: DFT, PBE
State: relaxed

Calculated values
Uncorrected formation energy = -0.6228 eV/atom

Cell lengths 7.624, 7.624, 7.389 Å; angles 58.94, 58.94, 60.00 degrees
Positions (direct):
Ag 0.399 0.399 0.804
Ag 0.601 0.601 0.196
Cl 0.771 0.207 0.251
Cl 0.229 0.793 0.749
Cl 0.207 0.771 0.251
Cl 0.793 0.229 0.749
Cl 0.771 0.771 0.251
Cl 0.229 0.229 0.749
Tl 0.780 0.780 0.661
Tl 0.220 0.220 0.339
Co 0.000 0.000 0.000

Material: Tl3CoAg2Cl8
Method: DFT, PBE
State: relaxed

Calculated values
Uncorrected formation energy = -0.6650 eV/atom

Cell lengths 7.003, 7.003, 9.291 Å; angles 90.00, 90.00, 120.00 degrees
Positions (direct):
Tl 0.333 0.667 0.624
Tl 0.000 0.000 0.000
Tl 0.667 0.333 0.376
Cl 0.151 0.302 0.352
Cl 0.698 0.849 0.352
Cl 0.151 0.849 0.352
Cl 0.333 0.667 0.945
Cl 0.849 0.698 0.648
Cl 0.849 0.151 0.648
Cl 0.667 0.333 0.055
Cl 0.302 0.151 0.648
Ag 0.333 0.667 0.204
Ag 0.667 0.333 0.796
Co 0.000 0.000 0.500

Material: Tl2CoAgCl6
Method: DFT, PBE
State: relaxed

Calculated values
Uncorrected formation energy = -0.7054 eV/atom

Cell lengths 7.010, 6.954, 10.012 Å; angles 90.00, 89.75, 90.00 degrees
Positions (direct):
Cl 0.756 0.798 0.522
Cl 0.256 0.702 0.022
Cl 0.038 0.505 0.772
Cl 0.244 0.202 0.478
Cl 0.300 0.740 0.485
Cl 0.800 0.760 0.985
Cl 0.744 0.298 0.978
Cl 0.200 0.240 0.015
Cl 0.462 0.005 0.728
Cl 0.538 0.995 0.272
Cl 0.962 0.495 0.228
Cl 0.700 0.260 0.515
Co 0.000 0.500 0.000
Co 0.500 0.000 0.500
Tl 0.004 0.975 0.250
Tl 0.996 0.025 0.750
Tl 0.496 0.475 0.250
Tl 0.504 0.525 0.750
Ag 0.000 0.500 0.500
Ag 0.500 0.000 0.000

Material: TmCoAgCl6
Method: DFT, PBE
State: relaxed

Calculated values
Uncorrected formation energy = -1.2631 eV/atom

Cell lengths 6.485, 6.485, 12.195 Å; angles 90.00, 90.00, 120.00 degrees
Positions (direct):
Cl 0.657 0.018 0.866
Cl 0.362 0.343 0.866
Cl 0.018 0.362 0.134
Cl 0.638 0.982 0.366
Cl 0.638 0.657 0.134
Cl 0.343 0.362 0.366
Cl 0.982 0.638 0.866
Cl 0.982 0.343 0.634
Cl 0.018 0.657 0.366
Cl 0.657 0.638 0.634
Cl 0.343 0.982 0.134
Cl 0.362 0.018 0.634
Tm 0.333 0.667 0.750
Tm 0.667 0.333 0.250
Co 0.667 0.333 0.750
Co 0.333 0.667 0.250
Ag 0.000 0.000 0.000
Ag 0.000 0.000 0.500

Material: YCoAgCl6
Method: DFT, PBE
State: relaxed

Calculated values
Uncorrected formation energy = -1.2586 eV/atom

Cell lengths 6.541, 6.541, 12.165 Å; angles 90.00, 90.00, 120.00 degrees
Positions (direct):
Cl 0.363 0.023 0.633
Cl 0.977 0.637 0.867
Cl 0.340 0.363 0.367
Cl 0.637 0.977 0.367
Cl 0.023 0.660 0.367
Cl 0.637 0.660 0.133
Cl 0.363 0.340 0.867
Cl 0.660 0.637 0.633
Cl 0.340 0.977 0.133
Cl 0.977 0.340 0.633
Cl 0.660 0.023 0.867
Cl 0.023 0.363 0.133
Y 0.333 0.667 0.750
Y 0.667 0.333 0.250
Ag 0.000 0.000 0.500
Ag 0.000 0.000 0.000
Co 0.667 0.333 0.750
Co 0.333 0.667 0.250

Material: CrAg4Cl
Method: DFT, PBE
State: relaxed

Calculated values
Uncorrected formation energy = 0.3365 eV/atom

Cell lengths 5.565, 5.565, 5.565 Å; angles 60.00, 60.00, 60.00 degrees
Positions (direct):
Ag 0.375 0.375 0.876
Ag 0.375 0.375 0.375
Ag 0.876 0.375 0.375
Ag 0.375 0.876 0.375
Cl 0.750 0.750 0.750
Cr 0.000 0.000 0.000

Material: CrAg2Cl6
Method: DFT, PBE
State: relaxed

Calculated values
Uncorrected formation energy = -0.6960 eV/atom
E above lowest polymorph = 0 kJ/mol of formula units

Cell lengths 6.477, 6.325, 10.733 Å; angles 90.00, 92.23, 90.00 degrees
Positions (direct):
Cr 0.000 0.000 0.500
Cr 0.500 0.500 0.000
Cl 0.848 0.735 0.373
Cl 0.154 0.153 0.324
Cl 0.654 0.347 0.824
Cl 0.348 0.765 0.873
Cl 0.346 0.653 0.176
Cl 0.152 0.265 0.627
Cl 0.846 0.847 0.676
Cl 0.652 0.235 0.127
Cl 0.706 0.207 0.469
Cl 0.294 0.793 0.531
Cl 0.206 0.293 0.969
Cl 0.794 0.707 0.031
Ag 0.984 0.452 0.191
Ag 0.516 0.952 0.309
Ag 0.016 0.548 0.809
Ag 0.484 0.048 0.691

Material: CrAg2Cl6
Method: DFT, PBE
State: relaxed

Calculated values
Uncorrected formation energy = -0.6702 eV/atom
E above lowest polymorph = 22 kJ/mol of formula units

Cell lengths 6.045, 6.045, 11.545 Å; angles 90.00, 90.00, 90.00 degrees
Positions (direct):
Cr 0.500 0.500 0.000
Cr 0.000 0.000 0.500
Cl 0.314 0.314 0.850
Cl 0.725 0.725 0.500
Cl 0.275 0.275 0.500
Cl 0.814 0.186 0.350
Cl 0.186 0.814 0.350
Cl 0.686 0.686 0.850
Cl 0.225 0.775 0.000
Cl 0.814 0.186 0.650
Cl 0.775 0.225 0.000
Cl 0.686 0.686 0.150
Cl 0.186 0.814 0.650
Cl 0.314 0.314 0.150
Ag 0.500 0.500 0.337
Ag 0.500 0.500 0.663
Ag 0.000 0.000 0.837
Ag 0.000 0.000 0.163

> Among the records above, which one has the highest uncorrected formation energy?

CrAg4Cl

> Which formula does entry 7 have?

CrAg2Cl6